Entry 1:
AcNdPuTh: relaxed, PBE-GGA.

a = 5.8144 Å, b = 5.8144 Å, c = 5.8144 Å
α = 60.00°, β = 60.00°, γ = 60.00°
Positions (direct):
Ac 0.0000 0.0000 0.0000
Nd 0.7500 0.7500 0.7500
Pu 0.5000 0.5000 0.5000
Th 0.2500 0.2500 0.2500

## Properties
Magnetic moment   2.04 μB per atom
Energy relative to the elements   0.322 eV per atom
Space group   F-43m

=====

Entry 2:
BaTl2AgO4: relaxed, PBE-GGA.

a = 6.8890 Å, b = 6.8890 Å, c = 11.2896 Å
α = 90.00°, β = 90.00°, γ = 147.90°
Positions (direct):
Ba 0.0874 0.9126 0.7500
Ba 0.9126 0.0874 0.2500
Tl 0.3833 0.6167 0.5509
Tl 0.3833 0.6167 0.9491
Tl 0.6167 0.3833 0.0509
Tl 0.6167 0.3833 0.4491
Ag 0.1887 0.8113 0.2500
Ag 0.8113 0.1887 0.7500
O 0.0000 0.0000 0.0000
O 0.0000 0.0000 0.5000
O 0.3143 0.6857 0.1192
O 0.3143 0.6857 0.3808
O 0.4278 0.5722 0.7500
O 0.5722 0.4278 0.2500
O 0.6857 0.3143 0.6192
O 0.6857 0.3143 0.8808

## Properties
Magnetic moment   0.00 μB per atom
ΔE_f (raw)   -923 meV/atom
Space group   Cmcm

=====

Entry 3:
ErGa6Ag: relaxed, PBE-GGA.

a = 6.0990 Å, b = 6.0990 Å, c = 4.4123 Å
α = 90.00°, β = 90.00°, γ = 110.38°
Positions (direct):
Er 0.0000 0.0000 0.0000
Ga 0.0000 0.5000 0.0000
Ga 0.2177 0.7823 0.5000
Ga 0.2922 0.2922 0.5000
Ga 0.5000 0.0000 0.0000
Ga 0.7078 0.7078 0.5000
Ga 0.7823 0.2177 0.5000
Ag 0.5000 0.5000 0.0000

## Properties
Magnetic moment   0.00 μB per atom
Energy relative to the elements   -0.198 eV per atom
Space group   Cmmm